Record 1
# BaScCd2Sb

A relaxed BaScCd2Sb crystal (GGA-PBE, the Alexandria database).

The structure in POSCAR format:
```
BaScCd2Sb
1.0
-5.337 -1.969 -1.941
2.255 -0.300 -5.896
1.745 -5.672 0.956
Sc Sb Ba Cd
1 1 1 2
direct
0.500 0.500 0.500
0.000 0.500 0.000
0.000 0.000 0.000
0.000 0.000 0.500
0.500 0.000 0.000
```

Its spin magnetization is 1.05 μB per formula unit. Its formation energy from raw total energies is 0.826 eV per atom.

Record 2
# Ba2CdSbSe5

A relaxed Ba2CdSbSe5 crystal (GGA-PBE, the Alexandria database).

The structure in POSCAR format:
```
Ba2CdSbSe5
1.0
-2.793 1.284 -3.122
-6.078 -3.056 7.255
-0.069 12.086 5.033
Ba Cd Sb Se
4 2 2 10
direct
0.875 0.750 0.806
0.106 0.211 0.685
0.125 0.250 0.306
0.894 0.789 0.185
0.562 0.123 0.946
0.438 0.877 0.446
0.780 0.560 0.520
0.220 0.440 0.020
0.359 0.718 0.000
0.705 0.410 0.875
0.498 0.995 0.772
0.274 0.548 0.663
0.928 0.856 0.557
0.641 0.282 0.500
0.295 0.590 0.375
0.502 0.005 0.272
0.726 0.452 0.163
0.072 0.144 0.057
```

Its spin magnetization is 0.00 μB per formula unit. Its formation energy from raw total energies is -1.082 eV per atom.

Record 3
# Ba2CdSbSe

A relaxed Ba2CdSbSe crystal (GGA-PBE, the Alexandria database).

The structure in POSCAR format:
```
Ba2CdSbSe
1.0
6.237 0.000 0.000
0.000 5.543 0.000
0.000 0.000 6.237
Sb Ba Se Cd
1 2 1 1
direct
0.000 0.500 0.000
0.000 0.000 0.500
0.500 0.000 0.000
0.000 0.000 0.000
0.500 0.500 0.500
```

Its spin magnetization is 0.00 μB per formula unit. Its formation energy from raw total energies is -0.610 eV per atom.

Record 4
# BaCdSnSb2

A relaxed BaCdSnSb2 crystal (GGA-PBE, the Alexandria database).

The structure in POSCAR format:
```
BaCdSnSb2
1.0
-1.400 4.550 2.941
-5.687 -3.144 -3.167
-0.037 -5.277 8.147
Ba Cd Sn Sb
2 2 2 4
direct
0.314 0.628 0.294
0.686 0.372 0.706
0.036 0.072 0.246
0.964 0.928 0.754
0.614 0.229 0.051
0.386 0.771 0.949
0.400 0.801 0.654
0.600 0.199 0.346
0.150 0.300 0.954
0.850 0.700 0.046
```

Its spin magnetization is 0.00 μB per formula unit. Its formation energy from raw total energies is -0.362 eV per atom.

Record 5
# Ba2Cd4Sn3Sb

A relaxed Ba2Cd4Sn3Sb crystal (GGA-PBE, the Alexandria database).

The structure in POSCAR format:
```
Ba2Cd4Sn3Sb
1.0
5.044 0.000 0.000
0.000 5.044 0.000
0.000 0.000 11.984
Ba Cd Sn Sb
2 4 3 1
direct
0.500 0.000 0.249
0.000 0.500 0.751
0.500 0.500 0.000
0.000 0.000 0.000
0.500 0.000 0.633
0.000 0.500 0.367
0.000 0.000 0.500
0.500 0.000 0.868
0.000 0.500 0.132
0.500 0.500 0.500
```

Its spin magnetization is 0.00 μB per formula unit. Its formation energy from raw total energies is -0.417 eV per atom.

Record 6
# BaCdSb2Te

A relaxed BaCdSb2Te crystal (GGA-PBE, the Alexandria database).

The structure in POSCAR format:
```
BaCdSb2Te
1.0
5.561 0.000 0.000
0.000 5.561 0.000
0.000 0.000 5.868
Sb Te Ba Cd
2 1 1 1
direct
0.000 0.500 0.000
0.500 0.000 0.000
0.000 0.000 0.500
0.500 0.500 0.500
0.000 0.000 0.000
```

Its spin magnetization is 0.00 μB per formula unit. The relative energy among the computed polymorphs is 0.0000 eV/atom. Its formation energy from raw total energies is -0.171 eV per atom.

Record 7
# BaCdSbTe2

A relaxed BaCdSbTe2 crystal (GGA-PBE, the Alexandria database).

The structure in POSCAR format:
```
BaCdSbTe2
1.0
6.561 0.000 0.000
0.000 6.561 0.000
0.000 0.000 6.717
Sb Te Ba Cd
1 2 1 1
direct
0.000 0.000 0.500
0.000 0.500 0.000
0.500 0.000 0.000
0.000 0.000 0.000
0.500 0.500 0.500
```

Its spin magnetization is 2.65 μB per formula unit. The relative energy among the computed polymorphs is 0.8103 eV/atom. Its formation energy from raw total energies is 0.471 eV per atom.

Record 8
# BaCdSbTe2

A relaxed BaCdSbTe2 crystal (GGA-PBE, the Alexandria database).

The structure in POSCAR format:
```
BaCdSbTe2
1.0
-3.714 3.548 2.767
-0.148 -3.682 4.523
4.183 2.613 2.264
Sb Te Ba Cd
1 2 1 1
direct
0.000 0.000 0.500
0.000 0.500 0.000
0.500 0.000 0.000
0.500 0.500 0.500
0.000 0.000 0.000
```

Its spin magnetization is 0.00 μB per formula unit. The relative energy among the computed polymorphs is 0.0000 eV/atom. Its formation energy from raw total energies is -0.340 eV per atom.

Record 9
# Ba2CdSbTe

A relaxed Ba2CdSbTe crystal (GGA-PBE, the Alexandria database).

The structure in POSCAR format:
```
Ba2CdSbTe
1.0
-4.332 -4.261 2.675
1.364 -3.716 -3.710
4.746 -2.290 4.039
Sb Te Ba Cd
1 1 2 1
direct
0.000 0.000 0.000
0.500 0.500 0.500
0.000 0.000 0.500
0.500 0.000 0.000
0.000 0.500 0.000
```

Its spin magnetization is 0.00 μB per formula unit. Its formation energy from raw total energies is -0.683 eV per atom.

Record 10
# BaCdSb2Te

A relaxed BaCdSb2Te crystal (GGA-PBE, the Alexandria database).

The structure in POSCAR format:
```
BaCdSb2Te
1.0
6.453 0.000 0.000
0.000 6.453 0.000
0.000 0.000 6.400
Sb Te Ba Cd
2 1 1 1
direct
0.000 0.500 0.000
0.500 0.000 0.000
0.000 0.000 0.500
0.000 0.000 0.000
0.500 0.500 0.500
```

Its spin magnetization is 0.85 μB per formula unit. The relative energy among the computed polymorphs is 0.8597 eV/atom. Its formation energy from raw total energies is 0.688 eV per atom.

Record 11
# BaThCdSb3

A relaxed BaThCdSb3 crystal (GGA-PBE, the Alexandria database).

The structure in POSCAR format:
```
BaThCdSb3
1.0
-1.007 1.804 4.174
-8.188 0.933 -2.378
-1.163 -9.443 3.801
Ba Th Cd Sb
2 2 2 6
direct
0.250 0.328 0.301
0.750 0.672 0.699
0.250 0.799 0.113
0.750 0.201 0.887
0.250 0.062 0.593
0.750 0.938 0.407
0.750 0.052 0.158
0.250 0.948 0.842
0.250 0.738 0.424
0.750 0.262 0.576
0.750 0.538 0.109
0.250 0.462 0.891
```

Its spin magnetization is 0.00 μB per formula unit. Its formation energy from raw total energies is -0.667 eV per atom.

Record 12
# Ba2ThCd2Sb4

A relaxed Ba2ThCd2Sb4 crystal (GGA-PBE, the Alexandria database).

The structure in POSCAR format:
```
Ba2ThCd2Sb4
1.0
4.643 0.000 0.000
0.000 8.353 0.219
-2.321 -3.107 7.839
Ba Th Cd Sb
2 1 2 4
direct
0.131 0.580 0.261
0.869 0.420 0.739
0.000 0.000 0.000
0.674 0.990 0.348
0.326 0.010 0.652
0.203 0.212 0.406
0.797 0.788 0.594
0.507 0.741 0.013
0.493 0.259 0.987
```

Its spin magnetization is 0.00 μB per formula unit. Its formation energy from raw total energies is -0.764 eV per atom.

Record 13
# BaTlCdSb

A relaxed BaTlCdSb crystal (GGA-PBE, the Alexandria database).

The structure in POSCAR format:
```
BaTlCdSb
1.0
5.811 0.000 0.000
2.906 5.033 0.000
2.906 1.678 4.745
Sb Tl Ba Cd
1 1 1 1
direct
0.250 0.250 0.250
0.000 0.000 0.000
0.500 0.500 0.500
0.750 0.750 0.750
```

Its spin magnetization is 0.00 μB per formula unit. Its formation energy from raw total energies is -0.370 eV per atom.

Record 14
# BaTlCdSb2

A relaxed BaTlCdSb2 crystal (GGA-PBE, the Alexandria database).

The structure in POSCAR format:
```
BaTlCdSb2
1.0
-4.431 2.871 1.601
2.807 -3.956 5.355
5.627 8.199 0.873
Ba Tl Cd Sb
2 2 2 4
direct
0.331 0.661 0.291
0.669 0.339 0.709
0.622 0.244 0.061
0.378 0.756 0.939
0.049 0.097 0.247
0.951 0.903 0.753
0.384 0.767 0.647
0.616 0.233 0.353
0.141 0.282 0.951
0.859 0.718 0.049
```

Its spin magnetization is 0.00 μB per formula unit. Its formation energy from raw total energies is -0.343 eV per atom.

Record 15
# BaZnCdSb2

A relaxed BaZnCdSb2 crystal (GGA-PBE, the Alexandria database).

The structure in POSCAR format:
```
BaZnCdSb2
1.0
-1.324 0.460 4.533
-5.113 -3.798 -3.591
5.694 -7.891 2.465
Ba Zn Cd Sb
2 2 2 4
direct
0.323 0.647 0.299
0.677 0.353 0.701
0.667 0.335 0.090
0.333 0.665 0.910
0.043 0.086 0.225
0.957 0.914 0.775
0.376 0.752 0.649
0.624 0.248 0.351
0.135 0.271 0.948
0.865 0.729 0.052
```

Its spin magnetization is 0.00 μB per formula unit. Its formation energy from raw total energies is -0.473 eV per atom.

Record 16
# BaSc2Cd

A relaxed BaSc2Cd crystal (GGA-PBE, the Alexandria database).

The structure in POSCAR format:
```
BaSc2Cd
1.0
-0.994 -6.378 -1.255
0.636 -2.221 -6.156
2.875 2.977 5.109
Ba Cd Sc
1 1 2
direct
0.481 0.481 0.000
0.227 0.727 0.500
0.023 0.023 0.000
0.769 0.269 0.500
```

Its spin magnetization is 0.00 μB per formula unit. The value obtained for the formation energy is 0.176 eV/atom.

Record 17
# BaSc2Cd

A relaxed BaSc2Cd crystal (GGA-PBE, the Alexandria database).

The structure in POSCAR format:
```
BaSc2Cd
1.0
11.119 -0.003 -0.002
10.556 3.493 -0.002
10.556 1.700 3.052
Ba Cd Sc
1 1 2
direct
0.250 0.250 0.250
0.750 0.750 0.750
0.013 0.013 0.013
0.487 0.487 0.487
```

Its spin magnetization is 0.00 μB per formula unit. The value obtained for the formation energy is 0.193 eV/atom.

Record 18
# BaSc2Cd

A relaxed BaSc2Cd crystal (GGA-PBE, the Alexandria database).

The structure in POSCAR format:
```
BaSc2Cd
1.0
-4.663 -0.811 -2.481
2.700 -2.797 -3.666
-0.542 -3.254 2.083
Ba Cd Sc
1 1 2
direct
0.500 0.000 0.500
0.000 0.500 0.500
0.000 0.000 0.000
0.500 0.500 0.000
```

Its spin magnetization is 0.00 μB per formula unit. The value obtained for the formation energy is 0.289 eV/atom.

Record 19
# BaScCd2

A relaxed BaScCd2 crystal (GGA-PBE, the Alexandria database).

The structure in POSCAR format:
```
BaScCd2
1.0
3.826 0.000 0.000
0.000 3.826 0.000
0.000 0.000 8.327
Ba Cd Sc
1 2 1
direct
0.500 0.500 0.768
0.000 0.000 0.052
0.500 0.500 0.257
0.000 0.000 0.423
```

Its spin magnetization is 0.22 μB per formula unit. The relative energy among the computed polymorphs is 0.2051 eV/atom. The value obtained for the formation energy is -0.028 eV/atom.

Record 20
# BaSc2Cd

A relaxed BaSc2Cd crystal (GGA-PBE, the Alexandria database).

The structure in POSCAR format:
```
BaSc2Cd
1.0
5.056 0.000 0.000
0.000 4.843 0.000
0.000 0.000 4.843
Ba Cd Sc
1 1 2
direct
0.500 0.500 0.000
0.500 0.000 0.500
0.000 0.000 0.000
0.000 0.500 0.500
```

Its spin magnetization is 0.30 μB per formula unit. The value obtained for the formation energy is 0.224 eV/atom.

Record 21
# BaScCd

A relaxed BaScCd crystal (GGA-PBE, the Alexandria database).

The structure in POSCAR format:
```
BaScCd
1.0
5.441 0.000 0.000
2.720 4.712 0.000
2.720 1.571 4.443
Ba Cd Sc
1 1 1
direct
0.500 0.500 0.500
0.750 0.750 0.750
0.000 0.000 0.000
```

Its spin magnetization is 0.10 μB per formula unit. The relative energy among the computed polymorphs is 0.3777 eV/atom. The value obtained for the formation energy is 0.275 eV/atom.

Record 22
# BaScCd2

A relaxed BaScCd2 crystal (GGA-PBE, the Alexandria database).

The structure in POSCAR format:
```
BaScCd2
1.0
5.599 0.015 0.000
-0.008 5.599 0.000
0.000 0.000 3.746
Ba Cd Sc
1 2 1
direct
0.000 0.500 0.500
0.000 0.000 0.000
0.500 0.500 0.000
0.500 0.000 0.500
```

Its spin magnetization is 0.00 μB per formula unit. The relative energy among the computed polymorphs is 0.1522 eV/atom. The value obtained for the formation energy is -0.080 eV/atom.

Record 23
# BaSc2Cd

A relaxed BaSc2Cd crystal (GGA-PBE, the Alexandria database).

The structure in POSCAR format:
```
BaSc2Cd
1.0
1.970 0.000 11.580
-0.985 1.706 11.580
-0.985 -1.706 11.580
Sc Ba Cd
2 1 1
direct
0.901 0.901 0.901
0.099 0.099 0.099
0.000 0.000 0.000
0.500 0.500 0.500
```

Its spin magnetization is 0.00 μB per formula unit. The value obtained for the formation energy is 0.258 eV/atom.

Record 24
# BaScCd

A relaxed BaScCd crystal (GGA-PBE, the Alexandria database).

The structure in POSCAR format:
```
BaScCd
1.0
7.218 0.011 -0.011
6.185 3.721 -0.005
1.033 0.282 3.700
Ba Cd Sc
1 1 1
direct
0.991 0.991 0.009
0.301 0.301 0.699
0.707 0.707 0.293
```

Its spin magnetization is 0.32 μB per formula unit. The relative energy among the computed polymorphs is 0.0735 eV/atom. The value obtained for the formation energy is -0.029 eV/atom.

Record 25
# BaSc2Cd

A relaxed BaSc2Cd crystal (GGA-PBE, the Alexandria database).

The structure in POSCAR format:
```
BaSc2Cd
1.0
-1.849 2.996 -0.939
-0.449 -1.336 -3.360
-7.806 -3.993 2.631
Ba Cd Sc
1 1 2
direct
0.500 0.500 0.250
0.500 0.500 0.750
0.000 0.000 0.929
0.000 0.000 0.571
```

Its spin magnetization is 0.33 μB per formula unit. The value obtained for the formation energy is 0.102 eV/atom.

Record 26
# BaSc2Cd

A relaxed BaSc2Cd crystal (GGA-PBE, the Alexandria database).

The structure in POSCAR format:
```
BaSc2Cd
1.0
5.466 0.000 0.000
0.000 5.466 0.000
2.733 2.733 10.697
Sc Ba Cd
4 2 2
direct
0.374 0.125 0.250
0.376 0.625 0.250
0.375 0.626 0.750
0.875 0.624 0.750
0.000 0.000 0.000
0.750 0.250 0.500
0.500 0.500 0.000
0.250 0.750 0.500
```

Its spin magnetization is 2.12 μB per formula unit. The value obtained for the formation energy is 0.538 eV/atom.

Record 27
# BaScCd2

A relaxed BaScCd2 crystal (GGA-PBE, the Alexandria database).

The structure in POSCAR format:
```
BaScCd2
1.0
-4.597 1.678 -1.248
-3.718 -3.291 -0.922
-4.326 -0.428 5.136
Ba Cd Sc
1 2 1
direct
0.250 0.250 0.250
0.053 0.053 0.842
0.447 0.447 0.658
0.750 0.750 0.750
```

Its spin magnetization is 0.00 μB per formula unit. The relative energy among the computed polymorphs is 0.0947 eV/atom. The value obtained for the formation energy is -0.138 eV/atom.